(1)
VASP calculation (PBE) on a geometry-optimized CsNaIF6 structure.

## Properties
For the energy relative to the elements, uncorrected, the calculation gives -2.033 eV per atom. As for the volume: 20.854 Å³/atom.

Lattice parameters (Å, degrees): 5.4651 5.9972 6.3329 88.59 64.76 89.07
Space group P1 (No. 1)
Inequivalent atoms, fractional coordinates:
Cs 0.0000 0.0000 0.0000 (multiplicity 1)
Na 0.3484 0.5093 0.2904 (multiplicity 1)
I 0.6613 0.5066 0.6626 (multiplicity 1)
F 0.4122 0.2982 0.5811 (multiplicity 1)
F 0.5056 0.2853 0.9664 (multiplicity 1)
F 0.5336 0.7244 0.9549 (multiplicity 1)
F 0.6079 0.7253 0.4134 (multiplicity 1)
F 0.9283 0.3804 0.3353 (multiplicity 1)
F 0.9852 0.7193 0.5732 (multiplicity 1)

***

(2)
VASP calculation (PBE) on a geometry-optimized Cs2NaIF6 structure.

## Properties
For the energy relative to the elements, uncorrected, the calculation gives -2.220 eV per atom. As for the volume: 21.609 Å³/atom.

Lattice parameters (Å, degrees): 5.9725 6.0656 6.9954 112.02 110.86 91.09
Space group P-1 (No. 2)
Inequivalent atoms, fractional coordinates:
Cs 0.2392 0.2432 0.4873 (multiplicity 2)
Na 0.0000 0.5000 0.0000 (multiplicity 1)
I 0.5000 0.0000 0.0000 (multiplicity 1)
F 0.1957 0.1567 0.9484 (multiplicity 2)
F 0.2183 0.6867 0.3783 (multiplicity 2)
F 0.2872 0.6818 0.9122 (multiplicity 2)

***

(3)
VASP calculation (PBE) on a geometry-optimized Cs2NbI2F4 structure.

## Properties
For the energy relative to the elements, uncorrected, the calculation gives -2.278 eV per atom. As for the volume: 32.028 Å³/atom.

Lattice parameters (Å, degrees): 7.6859 7.6859 9.7591 90.00 90.00 90.00
Space group I4/mmm (No. 139)
Inequivalent atoms, fractional coordinates:
Cs 0.0000 0.5000 0.2500 (multiplicity 4)
Nb 0.0000 0.0000 0.0000 (multiplicity 2)
I 0.0000 0.0000 0.2935 (multiplicity 4)
F 0.1835 0.1835 0.0000 (multiplicity 8)

***

(4)
VASP calculation (PBE) on a geometry-optimized Cs2NbI6F structure.

## Properties
For the energy relative to the elements, uncorrected, the calculation gives -0.961 eV per atom. As for the volume: 39.994 Å³/atom.

Lattice parameters (Å, degrees): 8.2717 8.2717 11.6907 90.00 90.00 90.00
Space group I4/mmm (No. 139)
Inequivalent atoms, fractional coordinates:
Cs 0.0000 0.5000 0.2500 (multiplicity 4)
Nb 0.0000 0.0000 0.0000 (multiplicity 2)
I 0.0000 0.0000 0.2405 (multiplicity 4)
I 0.2403 0.2403 0.0000 (multiplicity 8)
F 0.0000 0.0000 0.5000 (multiplicity 2)